1.
A relaxed ZrTe2C crystal, computed with GGA-PBE.

```
data_ZrTe2C
_chemical_formula_sum 'Zr4 Te8 C4'
_cell_length_a 6.368
_cell_length_b 6.368
_cell_length_c 9.467
_cell_angle_alpha 90.00
_cell_angle_beta 90.00
_cell_angle_gamma 90.00
_symmetry_space_group_name_H-M 'I -4 2 d'
_symmetry_Int_Tables_number 122
_symmetry_space_group_name_Hall 'I -4 2bw'
loop_
_atom_site_label
_atom_site_fract_x
_atom_site_fract_y
_atom_site_fract_z
_atom_site_occupancy
Zr1 0.000 0.000 0.000 1
Te1 0.178 0.250 0.625 1
C1 0.000 0.000 0.500 1
```

Values from the calculation:
total energy = -5.169 eV/atom
formation energy from raw total energies = 3.38 eV/f.u.


2.
A relaxed HgBF4 crystal, computed with GGA-PBE.

```
data_HgBF4
_chemical_formula_sum 'Hg2 B2 F8'
_cell_length_a 5.962
_cell_length_b 4.996
_cell_length_c 6.269
_cell_angle_alpha 90.00
_cell_angle_beta 104.87
_cell_angle_gamma 90.00
_symmetry_space_group_name_H-M 'P 1 21/m 1'
_symmetry_Int_Tables_number 11
loop_
_symmetry_equiv_pos_as_xyz
'x,y,z'
'-x,-y,-z'
'-x,y+1/2,-z'
'x,-y+1/2,z'
loop_
_atom_site_label
_atom_site_fract_x
_atom_site_fract_y
_atom_site_fract_z
_atom_site_occupancy
Hg1 0.069 0.250 0.413 1
B1 0.247 0.750 0.147 1
F1 0.004 0.750 0.129 1
F2 0.290 0.750 0.938 1
F3 0.347 0.520 0.271 1
```

Values from the calculation:
polymorph energy (0 for the lowest one) = 0.00 kJ/mol of atoms
total energy = -4.672 eV/atom
formation energy from raw total energies = -13.57 eV/f.u.


Which value of formation energy from raw total energies does entry 2 give? -13.57 eV/f.u.